VASP calculation (GGA-PBE) on an optimized crystal structure of Tl2Cd5Hg.

## Properties
calculated total energy = -1.0614 eV/atom
calculated density = 7.92 g cm⁻³
formation energy from the elements = 0.1399 eV/atom

a b c (Å): 5.8209 5.8209 9.3692
angles (deg): 115.99 115.99 64.76
Closest atoms and distances in Å follow each position.
Positions (direct):
Tl: 0.2504 0.7496 0.0000  2 Tl 3.11-3.12, 2 Hg 3.26-3.27, 2 Cd 3.26-3.28
Tl: 0.7496 0.2504 0.0000  2 Tl 3.11-3.12, 2 Hg 3.26-3.27, 2 Cd 3.26-3.28
Cd: 0.1564 0.1564 0.8134  1 Hg 2.98, 4 Cd 3.03-3.06, 4 Tl 3.26-3.28
Cd: 0.2397 0.7473 0.4868  1 Hg 2.89, 7 Cd 3.00-3.16
Cd: 0.3082 0.3082 0.6018  7 Cd 3.00-3.12
Cd: 0.7473 0.2397 0.4868  1 Hg 2.89, 7 Cd 3.00-3.16
Cd: 0.7930 0.7930 0.6017  7 Cd 3.01-3.12
Hg: 0.3422 0.3422 0.1848  3 Cd 2.89-2.98


VASP calculation (GGA-PBE) on an optimized crystal structure of Tl5CdHg3.

## Properties
calculated total energy = -1.4605 eV/atom
calculated density = 10.55 g cm⁻³
formation energy from the elements = 0.0564 eV/atom

a b c (Å): 8.0331 8.0331 8.4706
angles (deg): 90.00 90.00 90.00
Closest atoms and distances in Å follow each position.
Positions (direct):
Tl: 0.0000 0.0000 0.0000  4 Hg 3.18
Tl: 0.2112 0.2888 0.2813  1 Cd 3.03, 1 Hg 3.03
Tl: 0.2112 0.2888 0.7187  1 Cd 3.03, 1 Hg 3.03
Tl: 0.2888 0.7888 0.2813  1 Cd 3.03, 1 Hg 3.03
Tl: 0.2888 0.7888 0.7187  1 Cd 3.03, 1 Hg 3.03
Tl: 0.5000 0.5000 0.0000  4 Hg 3.18
Tl: 0.7112 0.2112 0.2813  1 Cd 3.03, 1 Hg 3.03
Tl: 0.7112 0.2112 0.7187  1 Cd 3.03, 1 Hg 3.03
Tl: 0.7888 0.7112 0.2813  1 Cd 3.03, 1 Hg 3.03
Tl: 0.7888 0.7112 0.7187  1 Cd 3.03, 1 Hg 3.03
Cd: 0.0000 0.5000 0.5000  4 Tl 3.03
Cd: 0.5000 0.0000 0.5000  4 Tl 3.03
Hg: 0.0000 0.0000 0.5000  8 Tl 3.42
Hg: 0.1238 0.6238 0.0000  1 Hg 2.81, 2 Tl 3.03
Hg: 0.3762 0.1238 0.0000  1 Hg 2.81, 2 Tl 3.03
Hg: 0.5000 0.5000 0.5000  8 Tl 3.42
Hg: 0.6238 0.8762 0.0000  1 Hg 2.81, 2 Tl 3.03
Hg: 0.8762 0.3762 0.0000  1 Hg 2.81, 2 Tl 3.03


Which of these has the highest calculated total energy?
Tl2Cd5Hg


formation energy from the elements of number 1 (Tl2Cd5Hg)?
0.1399 eV/atom


The lowest formation energy from the elements belongs to which entry?
Tl5CdHg3